## Y2Mg3Cu2 (PBE-GGA)

Data for crystalline Y2Mg3Cu2 at its relaxed geometry.

Output
Crystal system: orthorhombic
Total DFT energy (no corrections) (eV/atom): -3.8758
Total magnetic moment (μB per cell): 0.000
Density of states at the Fermi level (states/eV/f.u.): 3.65
Excess energy over the best structure of this formula in the dataset (eV per formula unit): 0.01

Unit cell a=10.500 b=10.500 c=3.520 alpha=90.00 beta=90.00 gamma=156.15
Sites, in units of the cell vectors:
Cu  0.714  0.286  0.500
Cu  0.286  0.714  0.500
Y  0.173  0.827  0.000
Y  0.827  0.173  0.000
Mg  0.000  0.000  0.000
Mg  0.578  0.422  0.500
Mg  0.422  0.578  0.500


## SnRh3Au (PBE-GGA)

Data for crystalline SnRh3Au at its relaxed geometry.

Output
Crystal system: cubic
Total DFT energy (no corrections) (eV/atom): -4.7012
Total magnetic moment (μB per cell): 1.812
Density of states at the Fermi level (states/eV/f.u.): 7.90
Excess energy over the best structure of this formula in the dataset (eV per formula unit): 0.00

Unit cell a=4.833 b=4.833 c=4.833 alpha=90.00 beta=90.00 gamma=90.00
Sites, in units of the cell vectors:
Rh  0.500  0.000  0.000
Rh  0.000  0.500  0.000
Rh  0.000  0.000  0.500
Au  0.500  0.500  0.500
Sn  0.000  0.000  0.000


## Ac3AlGa (PBE-GGA)

Data for crystalline Ac3AlGa at its relaxed geometry.

Output
Crystal system: triclinic
Total DFT energy (no corrections) (eV/atom): -4.0826
Total magnetic moment (μB per cell): 0.005
Density of states at the Fermi level (states/eV/f.u.): 5.14

Unit cell a=4.237 b=9.038 c=9.315 alpha=94.27 beta=90.04 gamma=103.64
Sites, in units of the cell vectors:
Ac  0.970  0.973  0.026
Ac  0.425  0.882  0.634
Ac  0.262  0.557  0.034
Ac  0.782  0.598  0.388
Ac  0.073  0.181  0.395
Ac  0.619  0.272  0.788
Ga  0.418  0.868  0.282
Ga  0.626  0.286  0.140
Al  0.808  0.648  0.775
Al  0.236  0.506  0.646


## Tl3InBr8 (PBE-GGA)

Data for crystalline Tl3InBr8 at its relaxed geometry.

Output
Crystal system: tetragonal
Total DFT energy (no corrections) (eV/atom): -2.4155
Total magnetic moment (μB per cell): 0.000
Density of states at the Fermi level (states/eV/f.u.): 11.65

Unit cell a=7.407 b=7.407 c=9.020 alpha=114.24 beta=114.24 gamma=90.00
Sites, in units of the cell vectors:
Tl  0.250  0.750  0.500
Tl  0.750  0.250  0.500
Tl  0.500  0.500  0.000
Br  0.115  0.650  0.766
Br  0.885  0.350  0.234
Br  0.350  0.885  0.234
Br  0.650  0.115  0.766
Br  0.115  0.115  0.766
Br  0.885  0.885  0.234
Br  0.650  0.650  0.766
Br  0.350  0.350  0.234
In  0.000  0.000  0.000


## TlSnC2Se (PBE-GGA)

Data for crystalline TlSnC2Se at its relaxed geometry.

Output
Crystal system: tetragonal
Total DFT energy (no corrections) (eV/atom): -3.4333
Total magnetic moment (μB per cell): 2.751
Density of states at the Fermi level (states/eV/f.u.): 3.10

Unit cell a=4.416 b=5.978 c=4.416 alpha=90.00 beta=90.00 gamma=90.00
Sites, in units of the cell vectors:
Sn  0.500  0.500  0.500
C  0.500  0.000  0.000
C  0.000  0.000  0.500
Tl  0.000  0.000  0.000
Se  0.000  0.500  0.000


## CaSi2N2O2 (PBE-GGA)

Data for crystalline CaSi2N2O2 at its relaxed geometry.

Output
Crystal system: monoclinic
Total DFT energy (no corrections) (eV/atom): -7.7341
Total magnetic moment (μB per cell): 0.000
Density of states at the Fermi level (states/eV/f.u.): 0.00

Unit cell a=7.385 b=10.588 c=13.773 alpha=90.00 beta=90.00 gamma=101.87
Sites, in units of the cell vectors:
Si  0.712  0.804  0.896
Si  0.380  0.331  0.797
Si  0.048  0.693  0.902
Si  0.376  0.081  0.903
Si  0.618  0.415  0.400
Si  0.712  0.056  0.795
Si  0.289  0.451  0.295
Si  0.288  0.196  0.396
Si  0.711  0.301  0.905
Si  0.622  0.165  0.292
Si  0.047  0.946  0.789
Si  0.624  0.919  0.403
Si  0.289  0.699  0.405
Si  0.047  0.193  0.907
Si  0.953  0.807  0.407
Si  0.953  0.054  0.289
Si  0.049  0.440  0.794
Si  0.378  0.835  0.792
Si  0.952  0.307  0.402
Si  0.382  0.585  0.900
Si  0.288  0.944  0.295
Si  0.951  0.560  0.294
Si  0.711  0.549  0.795
Si  0.620  0.669  0.297
O  0.921  0.527  0.178
O  0.735  0.121  0.687
O  0.101  0.226  0.021
O  0.758  0.599  0.685
O  0.899  0.774  0.521
O  0.266  0.632  0.512
O  0.734  0.368  0.012
O  0.574  0.447  0.512
O  0.265  0.879  0.187
O  0.244  0.148  0.507
O  0.396  0.804  0.677
O  0.397  0.043  0.016
O  0.242  0.401  0.185
O  0.575  0.709  0.186
O  0.079  0.473  0.678
O  0.756  0.852  0.007
O  0.603  0.957  0.516
O  0.425  0.291  0.686
O  0.896  0.015  0.178
O  0.104  0.985  0.678
O  0.080  0.730  0.017
O  0.604  0.196  0.177
O  0.920  0.270  0.517
O  0.426  0.553  0.012
N  0.808  0.165  0.888
N  0.860  0.188  0.318
N  0.853  0.436  0.372
N  0.522  0.507  0.317
N  0.192  0.835  0.388
N  0.192  0.589  0.313
N  0.140  0.812  0.818
N  0.147  0.564  0.872
N  0.854  0.689  0.324
N  0.479  0.746  0.873
N  0.526  0.755  0.385
N  0.478  0.493  0.817
N  0.192  0.082  0.307
N  0.146  0.311  0.824
N  0.192  0.336  0.383
N  0.475  0.998  0.816
N  0.861  0.941  0.378
N  0.525  0.002  0.316
N  0.521  0.254  0.373
N  0.808  0.411  0.813
N  0.139  0.059  0.878
N  0.808  0.918  0.807
N  0.474  0.245  0.885
N  0.808  0.664  0.883
Ca  0.082  0.948  0.064
Ca  0.919  0.306  0.133
Ca  0.589  0.952  0.121
Ca  0.918  0.052  0.564
Ca  0.745  0.357  0.630
Ca  0.742  0.617  0.067
Ca  0.081  0.694  0.633
Ca  0.588  0.704  0.576
Ca  0.255  0.643  0.130
Ca  0.412  0.296  0.076
Ca  0.258  0.383  0.567
Ca  0.411  0.048  0.621


## GaPtC2Br (PBE-GGA)

Data for crystalline GaPtC2Br at its relaxed geometry.

Output
Crystal system: tetragonal
Total DFT energy (no corrections) (eV/atom): -3.6988
Total magnetic moment (μB per cell): 0.000
Density of states at the Fermi level (states/eV/f.u.): 3.57

Unit cell a=3.834 b=6.401 c=3.834 alpha=90.00 beta=90.00 gamma=90.00
Sites, in units of the cell vectors:
C  0.500  0.000  0.000
C  0.000  0.000  0.500
Br  0.000  0.500  0.000
Pt  0.500  0.500  0.500
Ga  0.000  0.000  0.000


## Cs3DyY2Se6 (PBE-GGA)

Data for crystalline Cs3DyY2Se6 at its relaxed geometry.

Output
Crystal system: monoclinic
Total DFT energy (no corrections) (eV/atom): -5.1505
Total magnetic moment (μB per cell): 0.000
Density of states at the Fermi level (states/eV/f.u.): 0.00

Unit cell a=7.394 b=7.394 c=8.728 alpha=98.11 beta=98.11 gamma=120.00
Sites, in units of the cell vectors:
Cs  0.833  0.167  0.500
Cs  0.167  0.833  0.500
Cs  0.500  0.500  0.500
Se  0.271  0.271  0.814
Se  0.729  0.729  0.186
Se  0.395  0.062  0.186
Se  0.062  0.395  0.186
Se  0.938  0.605  0.814
Se  0.605  0.938  0.814
Dy  0.000  0.000  0.000
Y  0.333  0.667  0.000
Y  0.667  0.333  0.000


## KYFe2 (PBE-GGA)

Data for crystalline KYFe2 at its relaxed geometry.

Output
Crystal system: monoclinic
Total DFT energy (no corrections) (eV/atom): -5.4604
Total magnetic moment (μB per cell): 4.231
Density of states at the Fermi level (states/eV/f.u.): 4.07
Excess energy over the best structure of this formula in the dataset (eV per formula unit): 0.93

Unit cell a=5.186 b=5.186 c=7.612 alpha=71.85 beta=71.85 gamma=37.60
Sites, in units of the cell vectors:
Fe  0.996  0.996  0.857
Fe  0.504  0.504  0.643
Y  0.750  0.750  0.750
K  0.250  0.250  0.250


## Sm4InTe (PBE-GGA)

Data for crystalline Sm4InTe at its relaxed geometry.

Output
Crystal system: orthorhombic
Total DFT energy (no corrections) (eV/atom): -4.6346
Total magnetic moment (μB per cell): 0.000
Density of states at the Fermi level (states/eV/f.u.): 5.30

Unit cell a=5.679 b=6.480 c=11.291 alpha=90.00 beta=104.56 gamma=90.00
Sites, in units of the cell vectors:
In  0.151  0.322  0.301
In  0.849  0.822  0.699
Te  0.574  0.822  0.149
Te  0.426  0.322  0.851
Sm  0.870  0.322  0.740
Sm  0.130  0.822  0.260
Sm  0.567  0.322  0.135
Sm  0.714  0.076  0.428
Sm  0.286  0.068  0.572
Sm  0.433  0.822  0.865
Sm  0.286  0.576  0.572
Sm  0.714  0.568  0.428


## SmPaPb2 (PBE-GGA)

Data for crystalline SmPaPb2 at its relaxed geometry.

Output
Crystal system: tetragonal
Total DFT energy (no corrections) (eV/atom): -5.5398
Total magnetic moment (μB per cell): 1.259
Density of states at the Fermi level (states/eV/f.u.): 6.61
Excess energy over the best structure of this formula in the dataset (eV per formula unit): 0.14

Unit cell a=4.461 b=5.040 c=5.040 alpha=90.00 beta=90.00 gamma=90.00
Sites, in units of the cell vectors:
Sm  0.500  0.500  0.500
Pb  0.000  0.500  0.000
Pb  0.000  0.000  0.500
Pa  0.500  0.000  0.000


## HoTm2Se3 (PBE-GGA)

Data for crystalline HoTm2Se3 at its relaxed geometry.

Output
Crystal system: orthorhombic
Total DFT energy (no corrections) (eV/atom): -5.6728
Total magnetic moment (μB per cell): 0.000
Density of states at the Fermi level (states/eV/f.u.): 2.44

Unit cell a=4.055 b=5.676 c=6.963 alpha=114.05 beta=106.93 gamma=90.00
Sites, in units of the cell vectors:
Se  0.830  0.330  0.161
Se  0.170  0.670  0.839
Se  0.500  0.000  0.500
Tm  0.836  0.836  0.173
Tm  0.164  0.164  0.827
Ho  0.500  0.500  0.500